Computed, not measured: crystalline Ac2RhPbO6 at its relaxed geometry at the PBE-GGA level of DFT.

**Energy relative to the elements, uncorrected**: -1992 meV per atom

a = 5.1509 Å, b = 5.7469 Å, c = 6.4728 Å
α = 116.35°, β = 108.97°, γ = 90.00°
Last column: nearest neighbours and their distance in Å.
Fractional positions:
Ac (0.7888, 0.7671, 0.5341)  5 O 2.44-2.60
Ac (0.2112, 0.2329, 0.4659)  5 O 2.44-2.60
O (0.7908, 0.8480, 0.1726)  1 Rh 2.01
O (0.7908, 0.3245, 0.1726)  1 Rh 2.01
O (0.7185, 0.3043, 0.6085)  1 Pb 2.21, 1 Ac 2.44
O (0.2092, 0.6755, 0.8274)  1 Rh 2.01
O (0.2092, 0.1520, 0.8274)  1 Rh 2.01
O (0.2815, 0.6957, 0.3915)  1 Pb 2.21, 1 Ac 2.44
Pb (0.0000, 0.5000, 0.0000)  6 O 2.21-2.28
Rh (0.5000, 0.0000, 0.0000)  4 O 2.01